PBE Cs3KNa6, relaxed; energy relative to the elements = 55 meV/atom; volume = 1253.8 Å³/cell; DOS at the Fermi energy = 12.56 states/eV per cell; theoretical density = 1.525 g/cm3
1.0
10.7690 0.1793 -1.1631
-1.3144 10.6900 -1.1631
0.1560 0.1793 10.8306
Cs K Na
6 2 12
Cartesian
1.2077 8.1071 2.1521
3.0928 2.3193 7.5413
1.8980 7.6643 7.5674
7.7126 3.3843 0.9369
6.5178 8.7293 0.9630
8.4028 2.9415 6.3521
0.0000 0.0000 0.0000
4.8053 5.5243 4.2521
9.1029 6.9700 8.3633
0.6229 1.0678 3.9223
0.8364 4.4564 4.1110
4.0114 0.7649 0.4867
3.8340 4.7593 0.3299
5.0071 9.6030 4.7389
4.6034 1.4457 3.7654
5.7766 6.2893 8.1744
5.5992 10.2838 8.0176
8.7742 6.5923 4.3933
8.9876 9.9808 4.5820
0.5076 4.0786 0.1410